## La7Pr3Tm (GGA-PBE)

Data for crystalline La7Pr3Tm at its relaxed geometry.

Cell: 8.720 8.720 6.104 Å, 110.37 110.37 82.97°
Atoms (fractional coordinates):
La1 0.000 0.000 0.000
La2 0.096 0.513 0.304
La3 0.288 0.288 0.788
La4 0.487 0.904 0.696
La5 0.513 0.096 0.304
La6 0.712 0.712 0.212
La7 0.904 0.487 0.696
Pr1 0.291 0.709 0.000
Pr2 0.500 0.500 0.500
Pr3 0.709 0.291 0.000
Tm1 0.000 0.000 0.500

Calculated values
Total energy   -51.023 eV/cell
Spin magnetization   0.00 μB/cell